Density functional theory data (GGA-PBE) for LiHgI after structural relaxation.

* total magnetic moment: 0.00 μB/f.u.
* crystal system: trigonal
* E_tot: -5.89 eV per formula unit
* offset from the most stable computed form: 0.131 eV/f.u.
* raw formation energy: -0.709 eV/atom

Cell lengths 6.377, 4.461, 4.461 Å; angles 120.00, 90.00, 90.00 degrees
Fractional coordinates of all 3 atoms:
Hg  0.633  0.667  0.333
I  0.118  0.000  0.000
Li  0.249  0.333  0.667